Entry 1:
12
Lattice="2.8786 -2.8298 0.0000 2.8786 2.8298 0.0000 -2.0297 0.0000 13.6393" Properties=species:S:1:pos:R:3 comment="GGA-PBE HoU2Si2Pt7, relaxed" sg="C2/m (12)" m_tot_mub_per_fu=5.30 raw_formation_energy_mev_per_atom=-854 energy_ev_per_fu=-90.536 pbc="T T T"
Ho 0.0000 0.0000 0.0000
U -0.0402 0.0000 4.8810
U 3.7678 0.0000 8.7583
Si 0.8346 0.0000 10.1500
Si 2.8930 0.0000 3.4893
Pt 1.4513 1.4132 2.1960
Pt 0.9042 0.0000 7.7748
Pt 2.2763 1.4132 11.4433
Pt 2.8786 0.0000 0.0000
Pt 1.4513 -1.4132 2.1960
Pt 2.8234 0.0000 5.8645
Pt 2.2763 -1.4132 11.4433

Entry 2:
12
Lattice="2.8642 -2.8387 0.0000 2.8642 2.8387 0.0000 -2.1434 0.0000 13.6164" Properties=species:S:1:pos:R:3 comment="GGA-PBE YHo2Si2Pt7, relaxed" sg="C2/m (12)" m_tot_mub_per_fu=0.00 raw_formation_energy_mev_per_atom=-1117 energy_ev_per_fu=-82.150 pbc="T T T"
Y 0.0000 0.0000 0.0000
Ho -0.0764 0.0000 4.8612
Ho 3.6613 0.0000 8.7552
Si 0.7119 0.0000 10.0903
Si 2.8731 0.0000 3.5261
Pt 1.4399 1.4180 2.2181
Pt 0.8549 0.0000 7.7724
Pt 2.1450 1.4180 11.3983
Pt 2.8642 0.0000 0.0000
Pt 1.4399 -1.4180 2.2181
Pt 2.7300 0.0000 5.8440
Pt 2.1450 -1.4180 11.3983

Entry 3:
10
Lattice="4.1806 0.0000 0.0000 0.0000 4.1806 0.0000 0.0000 0.0000 10.9751" Properties=species:S:1:pos:R:3 comment="GGA-PBE Y2HoSi3Pt4, relaxed" sg="P-4m2 (115)" m_tot_mub_per_fu=0.00 raw_formation_energy_mev_per_atom=-1062 energy_ev_per_fu=-68.556 pbc="T T T"
Y 0.0000 2.0903 2.4517
Y 2.0903 0.0000 8.5235
Ho 0.0000 0.0000 5.4876
Si 0.0000 2.0903 9.6315
Si 2.0903 0.0000 1.3436
Si 2.0903 2.0903 5.4876
Pt 0.0000 0.0000 0.0000
Pt 0.0000 2.0903 7.2663
Pt 2.0903 0.0000 3.7088
Pt 2.0903 2.0903 0.0000

Entry 4:
15
Lattice="5.6403 0.0000 0.0000 -2.8201 4.8846 0.0000 0.0000 0.0000 10.7793" Properties=species:S:1:pos:R:3 comment="GGA-PBE Ho3ZnSi2Pt9, relaxed" sg="P-3m1 (164)" m_tot_mub_per_fu=0.00 raw_formation_energy_mev_per_atom=-841 energy_ev_per_fu=-92.842 pbc="T T T"
Ho 0.0000 0.0000 0.0000
Ho 0.0000 3.2564 6.2666
Ho 2.8202 1.6282 4.5127
Zn 0.0000 0.0000 5.3896
Si 0.0000 3.2564 1.7644
Si 2.8202 1.6282 9.0149
Pt -1.4101 2.4423 0.0000
Pt 0.0000 1.6001 3.4406
Pt -1.4345 4.0846 3.4406
Pt 1.3857 0.8000 7.3387
Pt 2.8201 0.0000 0.0000
Pt 1.4101 2.4423 0.0000
Pt 1.4345 4.0846 3.4406
Pt 4.2546 0.8000 7.3387
Pt 2.8202 3.2846 7.3387

Entry 5:
9
Lattice="3.9067 0.0000 0.0000 0.0000 3.9067 0.0000 0.0000 0.0000 11.7299" Properties=species:S:1:pos:R:3 comment="GGA-PBE HoZnSi2Pt5, relaxed" sg="P4/mmm (123)" m_tot_mub_per_fu=0.00 raw_formation_energy_mev_per_atom=-669 energy_ev_per_fu=-52.920 pbc="T T T"
Ho 0.0000 0.0000 0.0000
Zn 0.0000 0.0000 5.8649
Si 1.9533 1.9533 3.5285
Si 1.9533 1.9533 8.2014
Pt 0.0000 1.9533 2.1680
Pt 0.0000 1.9533 9.5619
Pt 1.9533 0.0000 2.1680
Pt 1.9533 0.0000 9.5619
Pt 1.9533 1.9533 5.8649

Entry 6:
10
Lattice="4.0865 0.0000 0.0000 0.0000 4.0865 0.0000 0.0000 0.0000 10.3349" Properties=species:S:1:pos:R:3 comment="GGA-PBE Ho2ZnSi4Pt3, relaxed" sg="P-4m2 (115)" m_tot_mub_per_fu=0.00 raw_formation_energy_mev_per_atom=-955 energy_ev_per_fu=-59.796 pbc="T T T"
Ho 0.0000 2.0433 2.5366
Ho 2.0433 0.0000 7.7983
Zn 2.0433 2.0433 0.0000
Si 0.0000 0.0000 5.1674
Si 0.0000 2.0433 8.8744
Si 2.0433 0.0000 1.4605
Si 2.0433 2.0433 5.1674
Pt 0.0000 0.0000 0.0000
Pt 0.0000 2.0433 6.4822
Pt 2.0433 0.0000 3.8527

Entry 7:
12
Lattice="4.1491 0.0000 0.0000 0.0000 4.1491 0.0000 0.0000 0.0000 12.4454" Properties=species:S:1:pos:R:3 comment="GGA-PBE Sm2HoPt9, relaxed" sg="P4/mmm (123)" m_tot_mub_per_fu=0.00 formation_enthalpy_0k_ev_per_atom=-0.97 energy_ev_per_fu=-80.024 pbc="T T T"
Sm 0.0000 0.0000 2.0920
Sm 0.0000 0.0000 10.3535
Ho 0.0000 0.0000 6.2227
Pt 0.0000 2.0745 0.0000
Pt 0.0000 2.0745 4.1985
Pt 0.0000 2.0745 8.2470
Pt 2.0745 0.0000 0.0000
Pt 2.0745 0.0000 4.1985
Pt 2.0745 0.0000 8.2470
Pt 2.0745 2.0745 2.0982
Pt 2.0745 2.0745 6.2227
Pt 2.0745 2.0745 10.3473

Entry 8:
10
Lattice="5.4428 0.0000 0.0000 0.0000 4.6077 0.0000 -1.5730 0.0000 10.3398" Properties=species:S:1:pos:R:3 comment="GGA-PBE SmHo2Pt2, relaxed" de_polymorph_ev_per_atom=0.0000 sg="P2_1/m (11)" m_tot_mub_per_fu=0.00 formation_enthalpy_0k_ev_per_atom=-1.03 energy_ev_per_fu=-31.127 pbc="T T T"
Sm 0.0315 1.1519 2.9550
Sm 3.8383 3.4557 7.3848
Ho -0.1388 1.1519 10.0173
Ho 1.1564 1.1519 6.3779
Ho 2.7133 3.4557 3.9619
Ho 4.0085 3.4557 0.3225
Pt 0.0939 3.4557 4.9126
Pt 1.2665 3.4557 1.3885
Pt 2.6032 1.1519 8.9513
Pt 3.7758 1.1519 5.4273

Entry 9:
10
Lattice="7.7956 0.0000 0.0000 0.0000 7.7956 0.0000 0.0000 0.0000 4.0682" Properties=species:S:1:pos:R:3 comment="GGA-PBE Sm2HoPt2, relaxed" sg="P4/mbm (127)" m_tot_mub_per_fu=0.00 formation_enthalpy_0k_ev_per_atom=-1.01 energy_ev_per_fu=-31.142 pbc="T T T"
Sm 1.2695 2.6283 0.0000
Sm 2.6283 6.5261 0.0000
Sm 5.1673 1.2695 0.0000
Sm 6.5261 5.1673 0.0000
Ho 0.0000 0.0000 2.0341
Ho 3.8978 3.8978 2.0341
Pt 1.0813 4.9791 2.0341
Pt 2.8166 1.0813 2.0341
Pt 4.9791 6.7144 2.0341
Pt 6.7144 2.8166 2.0341

Entry 10:
14
Lattice="-4.4029 4.4029 4.4029 4.4029 -4.4029 4.4029 4.4029 4.4029 -4.4029" Properties=species:S:1:pos:R:3 comment="GGA-PBE Sm2Ho2Pt3, relaxed" sg="I2_13 (199)" m_tot_mub_per_fu=0.00 formation_enthalpy_0k_ev_per_atom=-1.07 energy_ev_per_fu=-44.192 pbc="T T T"
Sm 2.7588 1.6441 -1.6441
Sm 1.6441 -1.6441 2.7588
Sm 1.6441 1.6441 1.6441
Sm -1.6441 2.7588 1.6441
Ho 4.9483 -0.5454 0.5454
Ho 0.5454 4.9483 -0.5454
Ho -0.5454 0.5454 4.9483
Ho 3.8575 3.8575 3.8575
Pt 4.4029 -2.2015 3.2374
Pt 3.2374 4.4029 -2.2015
Pt 4.4029 2.2015 1.1655
Pt 2.2015 1.1655 4.4029
Pt 1.1655 4.4029 2.2015
Pt -2.2015 3.2374 4.4029

Entry 11:
7
Lattice="3.8060 0.0000 0.0000 -1.9027 6.1921 0.0000 -1.9019 -2.3079 8.2349" Properties=species:S:1:pos:R:3 comment="GGA-PBE Sm3Ho2Pt2, relaxed" sg="P-1 (2)" m_tot_mub_per_fu=0.00 formation_enthalpy_0k_ev_per_atom=-0.74 energy_ev_per_fu=-40.540 pbc="T T T"
Sm 0.0000 0.0000 0.0000
Sm 0.0005 0.2794 3.5712
Sm 0.0008 3.6048 4.6637
Ho -1.9035 1.0979 6.7079
Ho 1.9048 2.7863 1.5269
Pt -0.0004 -1.0177 6.2972
Pt 0.0017 4.9019 1.9376

Entry 12:
12
Lattice="4.8351 0.0000 0.0000 0.0000 8.9978 0.0000 0.0000 0.0000 7.2633" Properties=species:S:1:pos:R:3 comment="GGA-PBE Sm3HoPt2, relaxed" sg="Pmc2_1 (26)" m_tot_mub_per_fu=0.00 formation_enthalpy_0k_ev_per_atom=-0.87 energy_ev_per_fu=-36.065 pbc="T T T"
Sm 0.0000 0.7654 0.0000
Sm 0.0000 3.0321 2.6296
Sm 0.0000 5.9657 6.2613
Sm 0.0000 8.2324 3.6316
Sm 2.4175 1.5059 4.7275
Sm 2.4175 7.4919 1.0958
Ho 2.4175 3.7299 0.0951
Ho 2.4175 5.2679 3.7268
Pt 0.0000 3.0929 5.5909
Pt 0.0000 5.9048 1.9593
Pt 2.4175 1.4600 1.7803
Pt 2.4175 7.5378 5.4119